Entry 1:
VASP calculation (PBE) on an optimized crystal structure of PrNd4Ho8.

Lattice parameters (Å, degrees): 7.826 7.826 7.826 90.00 90.00 90.00
Space group Pm-3m (No. 221)
Asymmetric unit:
Pr  0.000  0.000  0.000 [1 per cell]
Nd  0.000  0.000  0.500 [3 per cell]
Nd  0.500  0.500  0.500 [1 per cell]
Ho  0.261  0.261  0.261 [8 per cell]

Summary:
The formation energy comes out at 0.5215 eV per atom. As for the total magnetization: 1.80 Bohr magnetons per cell. Its density of states at the Fermi level is 20.91 states/eV/cell.

Entry 2:
VASP calculation (PBE) on an optimized crystal structure of BaScRh2Br.

Lattice parameters (Å, degrees): 5.116 5.116 5.858 90.00 90.00 90.00
Space group P4/mmm (No. 123)
Asymmetric unit:
Ba  0.000  0.000  0.000 [1 per cell]
Sc  0.500  0.500  0.500 [1 per cell]
Rh  0.000  0.500  0.000 [2 per cell]
Br  0.000  0.000  0.500 [1 per cell]

Summary:
For the formation energy from raw total energies, the calculation gives 878 meV/atom. As for the total magnetization: 0.37 Bohr magnetons per cell. Its density of states at the Fermi level is 4.80 states/eV/cell.

Entry 3:
VASP calculation (PBE) on an optimized crystal structure of BaTl4Ag.

Lattice parameters (Å, degrees): 5.032 18.447 7.866 90.00 90.00 90.00
Space group Cmcm (No. 63)
Asymmetric unit:
Ba  0.000  0.126  0.250 [4 per cell]
Tl  0.000  0.065  0.750 [4 per cell]
Tl  0.000  0.320  0.051 [8 per cell]
Tl  0.000  0.500  0.000 [4 per cell]
Ag  0.000  0.224  0.750 [4 per cell]

Summary:
The formation energy comes out at -0.1953 eV per atom. As for the total magnetization: 0.00 Bohr magnetons per cell. Its density of states at the Fermi level is 13.71 states/eV/cell.

> Which formula does entry 3 have?

BaTl4Ag